Material: PmPr3Y2Er6
Method: DFT, PBE
State: optimized geometry

Results
- SG: No. 12
- ΔH_f (0 K): 0.250 eV/f.u.
- Theoretical density: 7.47 g/cm³

Lattice parameters (Å, degrees): 6.214 6.214 11.803 95.02 95.02 119.98
Sites, in units of the cell vectors:
1 Y 0.333 0.667 0.000
2 Er 0.750 0.750 0.248
3 Er 0.917 0.584 0.753
4 Pr 0.167 0.833 0.500
5 Er 0.584 0.917 0.753
6 Y 0.667 0.333 0.000
7 Pr 0.833 0.167 0.500
8 Er 0.083 0.416 0.247
9 Er 0.416 0.083 0.247
10 Pm 0.000 0.000 0.000
11 Er 0.250 0.250 0.752
12 Pr 0.500 0.500 0.500

***

Material: Na3Cd9Pb2
Method: DFT, PBE
State: optimized geometry

Results
- SG: No. 71
- ΔH_f (0 K): -0.598 eV/f.u.
- Theoretical density: 6.67 g/cm³

Lattice parameters (Å, degrees): 4.922 9.056 9.056 80.80 74.23 74.23
Sites, in units of the cell vectors:
1 Pb 0.500 0.340 0.660
2 Cd 0.841 0.426 0.891
3 Cd 0.367 0.254 0.011
4 Pb 0.500 0.660 0.340
5 Cd 0.367 0.011 0.254
6 Na 0.720 0.280 0.280
7 Na 0.280 0.720 0.720
8 Cd 0.841 0.891 0.426
9 Cd 0.159 0.574 0.109
10 Cd 0.159 0.109 0.574
11 Cd 0.000 0.500 0.500
12 Cd 0.633 0.746 0.989
13 Cd 0.633 0.989 0.746
14 Na 0.000 0.000 0.000

***

Material: PmPr2Tm
Method: DFT, PBE
State: optimized geometry

Results
- Excess energy over the best structure of this formula in the dataset: 0.6 kJ/mol of atoms
- SG: No. 123
- ΔH_f (0 K): 0.086 eV/f.u.
- Theoretical density: 7.24 g/cm³

Lattice parameters (Å, degrees): 3.650 3.650 10.255 90.00 90.00 90.00
Sites, in units of the cell vectors:
1 Pr 0.000 0.000 0.745
2 Pr 0.000 0.000 0.255
3 Pm 0.500 0.500 0.000
4 Tm 0.500 0.500 0.500

***

Material: ZnNi7Sb2Pt2
Method: DFT, PBE
State: optimized geometry

Results
- SG: No. 12
- Theoretical density: 10.78 g/cm³
- Formation energy without anion corrections: -0.0442 eV/atom

Lattice parameters (Å, degrees): 3.495 3.495 14.210 82.88 82.88 90.00
Site moments in Bohr magnetons follow the coordinates.
Sites, in units of the cell vectors:
1 Sb 0.183 0.183 0.637  0.00
2 Pt 0.365 0.365 0.268  0.06
3 Ni 0.731 0.731 0.539  0.04
4 Ni 0.434 0.934 0.131  0.52
5 Zn 0.000 0.000 0.000  -0.02
6 Ni 0.934 0.434 0.131  0.52
7 Pt 0.635 0.635 0.732  0.06
8 Ni 0.500 0.500 0.000  0.45
9 Sb 0.817 0.817 0.363  0.00
10 Ni 0.066 0.566 0.869  0.52
11 Ni 0.269 0.269 0.461  0.04
12 Ni 0.566 0.066 0.869  0.52

***

Material: YTl2Au
Method: DFT, PBE
State: optimized geometry

Results
- Excess energy over the best structure of this formula in the dataset: 10.7 kJ/mol of atoms
- SG: No. 160
- ΔH_f (0 K): -0.884 eV/f.u.
- Theoretical density: 10.17 g/cm³

Lattice parameters (Å, degrees): 9.635 9.635 9.635 22.35 22.35 22.35
Sites, in units of the cell vectors:
1 Y 0.490 0.490 0.490
2 Au 0.755 0.755 0.755
3 Tl 0.007 0.007 0.007
4 Tl 0.248 0.248 0.248

***

Material: CrRe2Cl
Method: DFT, PBE
State: optimized geometry

Results
- Excess energy over the best structure of this formula in the dataset: 31.6 kJ/mol of atoms
- SG: No. 25
- Theoretical density: 9.96 g/cm³
- Formation energy without anion corrections: 0.5925 eV/atom

Lattice parameters (Å, degrees): 2.922 3.781 6.939 90.00 90.00 90.00
Sites, in units of the cell vectors:
1 Re 0.500 0.500 0.126
2 Cl 0.000 0.000 0.609
3 Cr 0.500 0.500 0.806
4 Re 0.000 0.000 0.960

***

Material: CaCeCu4
Method: DFT, PBE
State: optimized geometry

Results
- Excess energy over the best structure of this formula in the dataset: 0.0 kJ/mol of atoms
- SG: No. 119
- ΔH_f (0 K): -0.539 eV/f.u.
- Theoretical density: 6.00 g/cm³

Lattice parameters (Å, degrees): 4.000 4.000 8.025 104.43 104.43 90.00
Site moments in Bohr magnetons follow the coordinates.
Sites, in units of the cell vectors:
1 Cu 0.581 0.581 0.163  0.00
2 Ca 0.250 0.750 0.500  0.00
3 Cu 0.831 0.331 0.662  0.00
4 Cu 0.669 0.169 0.338  0.00
5 Cu 0.419 0.419 0.837  0.00
6 Ce 0.000 0.000 0.000  0.78

***

Material: NbOsPbBr2
Method: DFT, PBE
State: optimized geometry

Results
- SG: No. 123
- Theoretical density: 7.92 g/cm³
- Formation energy without anion corrections: 1.3402 eV/atom

Lattice parameters (Å, degrees): 5.044 5.355 5.044 90.00 90.00 90.00
Site moments in Bohr magnetons follow the coordinates.
Sites, in units of the cell vectors:
1 Br 0.500 0.000 0.000  -0.08
2 Br 0.000 0.000 0.500  -0.03
3 Nb 0.500 0.500 0.500  2.81
4 Pb 0.000 0.500 0.000  0.00
5 Os 0.000 0.000 0.000  -0.03

***

Material: LiZnIn2
Method: DFT, PBE
State: optimized geometry

Results
- SG: No. 123
- ΔH_f (0 K): -0.317 eV/f.u.
- Theoretical density: 6.07 g/cm³

Lattice parameters (Å, degrees): 3.150 3.150 8.332 90.00 90.00 90.06
Sites, in units of the cell vectors:
1 Li 0.500 0.500 0.250
2 Zn 0.500 0.500 0.750
3 In 0.000 0.000 0.998
4 In 0.000 0.000 0.502

***

Material: NdThSb2
Method: DFT, PBE
State: optimized geometry

Results
- Excess energy over the best structure of this formula in the dataset: 0.4 kJ/mol of atoms
- SG: No. 166
- Theoretical density: 7.91 g/cm³
- Formation energy without anion corrections: -1.0621 eV/atom

Lattice parameters (Å, degrees): 4.518 4.518 7.809 90.03 106.80 119.97
Sites, in units of the cell vectors:
1 Nd 0.000 0.500 0.500
2 Sb 0.501 0.250 0.751
3 Th 0.000 0.000 0.000
4 Sb 0.499 0.750 0.249

***

Material: Zr2FeSb
Method: DFT, PBE
State: optimized geometry

Results
- SG: No. 6
- Theoretical density: 7.42 g/cm³
- Formation energy without anion corrections: -0.3684 eV/atom

Lattice parameters (Å, degrees): 3.977 3.807 5.652 70.33 90.00 90.00
Site moments in Bohr magnetons follow the coordinates.
Sites, in units of the cell vectors:
1 Zr 0.000 0.961 0.955  -0.07
2 Zr 0.500 0.268 0.339  -0.18
3 Sb 0.500 0.552 0.772  0.01
4 Fe 0.000 0.719 0.434  1.35

***

Material: PaGe
Method: DFT, PBE
State: optimized geometry

Results
- SG: No. 225
- ΔH_f (0 K): -0.869 eV/f.u.
- Theoretical density: 10.09 g/cm³

Lattice parameters (Å, degrees): 4.135 4.135 4.135 60.00 60.00 60.00
Sites, in units of the cell vectors:
1 Ge 0.000 0.000 0.000
2 Pa 0.500 0.500 0.500

***

Material: TmZrHgC
Method: DFT, PBE
State: optimized geometry

Results
- SG: No. 160
- ΔH_f (0 K): -1.977 eV/f.u.
- Theoretical density: 10.07 g/cm³

Lattice parameters (Å, degrees): 3.430 3.427 7.905 90.00 102.51 119.97
Sites, in units of the cell vectors:
1 Tm 0.521 0.159 0.694
2 C 0.314 0.555 0.884
3 Hg 0.962 0.379 0.356
4 Zr 0.081 0.938 0.035

***

Material: Pm3TiCl2O6
Method: DFT, PBE
State: optimized geometry

Results
- SG: No. 12
- Theoretical density: 4.93 g/cm³
- Formation energy without anion corrections: -2.5474 eV/atom

Lattice parameters (Å, degrees): 5.625 6.836 6.702 120.67 82.32 90.00
Site moments in Bohr magnetons follow the coordinates.
Sites, in units of the cell vectors:
1 Ti 0.500 0.000 0.000  -0.06
2 Cl 0.867 0.281 0.563  0.01
3 O 0.700 0.810 0.104  0.22
4 Pm 0.500 0.500 0.500  -0.01
5 O 0.300 0.706 0.896  0.22
6 Cl 0.133 0.719 0.437  0.01
7 O 0.700 0.294 0.104  0.22
8 O 0.300 0.190 0.896  0.22
9 Pm 0.500 0.000 0.500  -0.01
10 O 0.345 0.160 0.320  0.00
11 O 0.655 0.840 0.680  0.00
12 Pm 0.000 0.500 0.000  -0.02

***

Material: AlPtF2
Method: DFT, PBE
State: optimized geometry

Results
- Excess energy over the best structure of this formula in the dataset: 73.7 kJ/mol of atoms
- SG: No. 225
- Theoretical density: 8.33 g/cm³
- Formation energy without anion corrections: -0.5852 eV/atom

Lattice parameters (Å, degrees): 4.186 4.186 4.186 60.00 60.00 60.00
Sites, in units of the cell vectors:
1 Pt 0.500 0.500 0.500
2 Al 0.000 0.000 0.000
3 F 0.250 0.250 0.250
4 F 0.750 0.750 0.750

***

Material: Li2TiZnB
Method: DFT, PBE
State: optimized geometry

Results
- SG: No. 123
- ΔH_f (0 K): 2.217 eV/f.u.
- Theoretical density: 3.42 g/cm³

Lattice parameters (Å, degrees): 4.124 3.941 4.124 90.00 90.00 90.00
Sites, in units of the cell vectors:
1 Ti 0.500 0.500 0.500
2 Li 0.000 0.000 0.500
3 B 0.000 0.000 0.000
4 Li 0.500 0.000 0.000
5 Zn 0.000 0.500 0.000

***

Material: AgMo4Pb
Method: DFT, PBE
State: optimized geometry

Results
- SG: No. 216
- ΔH_f (0 K): 3.973 eV/f.u.
- Theoretical density: 10.59 g/cm³

Lattice parameters (Å, degrees): 5.371 5.371 5.371 60.00 60.00 60.00
Sites, in units of the cell vectors:
1 Ag 0.000 0.000 0.000
2 Mo 0.372 0.372 0.883
3 Mo 0.372 0.372 0.372
4 Pb 0.750 0.750 0.750
5 Mo 0.372 0.883 0.372
6 Mo 0.883 0.372 0.372

***

Material: Y2ZrTl
Method: DFT, PBE
State: optimized geometry

Results
- Excess energy over the best structure of this formula in the dataset: 0.0 kJ/mol of atoms
- SG: No. 123
- ΔH_f (0 K): -0.538 eV/f.u.
- Theoretical density: 7.13 g/cm³

Lattice parameters (Å, degrees): 3.495 3.495 9.031 90.00 90.00 90.00
Sites, in units of the cell vectors:
1 Y 0.000 0.000 0.502
2 Zr 0.500 0.500 0.250
3 Tl 0.500 0.500 0.750
4 Y 0.000 0.000 0.998

***

Material: PmMgZrGa
Method: DFT, PBE
State: optimized geometry

Results
- SG: No. 216
- ΔH_f (0 K): -0.844 eV/f.u.
- Theoretical density: 6.00 g/cm³

Lattice parameters (Å, degrees): 5.057 5.057 5.057 60.00 60.00 60.00
Sites, in units of the cell vectors:
1 Pm 0.000 0.000 0.000
2 Ga 0.250 0.250 0.250
3 Mg 0.750 0.750 0.750
4 Zr 0.500 0.500 0.500

***

Material: Sc7Sn2As2
Method: DFT, PBE
State: optimized geometry

Results
- SG: No. 65
- ΔH_f (0 K): -6.549 eV/f.u.
- Theoretical density: 4.44 g/cm³

Lattice parameters (Å, degrees): 6.483 6.399 6.483 90.00 102.31 90.00
Site moments in Bohr magnetons follow the coordinates.
Sites, in units of the cell vectors:
1 Sn 0.817 0.500 0.817  -0.01
2 As 0.275 0.000 0.725  -0.02
3 Sc 0.500 0.738 0.000  0.20
4 Sc 0.500 0.251 0.500  0.42
5 Sc 0.000 0.738 0.500  0.20
6 Sn 0.183 0.500 0.183  -0.01
7 Sc 0.000 0.262 0.500  0.20
8 As 0.725 0.000 0.275  -0.02
9 Sc 0.500 0.749 0.500  0.42
10 Sc 0.000 0.000 0.000  0.06
11 Sc 0.500 0.262 0.000  0.20